DFT (PBE) results for a relaxed Sm3Ag12Au5 crystal.

Output
**E_form**: 0.352 eV/atom

Cell: 14.138 14.138 14.138 Å, 109.47 109.47 109.47°
Fractional positions:
Sm 0.125 0.250 0.375
Sm 0.125 0.375 0.750
Sm 0.250 0.375 0.125
Sm 0.250 0.875 0.625
Sm 0.375 0.125 0.250
Sm 0.375 0.750 0.125
Sm 0.625 0.250 0.875
Sm 0.625 0.875 0.750
Sm 0.750 0.125 0.375
Sm 0.750 0.625 0.875
Sm 0.875 0.625 0.250
Sm 0.875 0.750 0.625
Ag 0.057 0.221 0.137
Ag 0.057 0.336 0.920
Ag 0.080 0.637 0.416
Ag 0.080 0.943 0.664
Ag 0.084 0.721 0.664
Ag 0.084 0.863 0.420
Ag 0.137 0.057 0.221
Ag 0.137 0.580 0.916
Ag 0.164 0.221 0.584
Ag 0.164 0.443 0.580
Ag 0.221 0.137 0.057
Ag 0.221 0.584 0.164
Ag 0.279 0.336 0.916
Ag 0.279 0.443 0.363
Ag 0.336 0.916 0.279
Ag 0.336 0.920 0.057
Ag 0.363 0.279 0.443
Ag 0.363 0.584 0.920
Ag 0.416 0.080 0.637
Ag 0.416 0.836 0.779
Ag 0.420 0.084 0.863
Ag 0.420 0.836 0.557
Ag 0.443 0.363 0.279
Ag 0.443 0.580 0.164
Ag 0.557 0.420 0.836
Ag 0.557 0.637 0.721
Ag 0.580 0.164 0.443
Ag 0.580 0.916 0.137
Ag 0.584 0.164 0.221
Ag 0.584 0.920 0.363
Ag 0.637 0.416 0.080
Ag 0.637 0.721 0.557
Ag 0.664 0.080 0.943
Ag 0.664 0.084 0.721
Ag 0.721 0.557 0.637
Ag 0.721 0.664 0.084
Ag 0.779 0.416 0.836
Ag 0.779 0.863 0.943
Ag 0.836 0.557 0.420
Ag 0.836 0.779 0.416
Ag 0.863 0.420 0.084
Ag 0.863 0.943 0.779
Ag 0.916 0.137 0.580
Ag 0.916 0.279 0.336
Ag 0.920 0.057 0.336
Ag 0.920 0.363 0.584
Ag 0.943 0.664 0.080
Ag 0.943 0.779 0.863
Au 0.000 0.000 0.000
Au 0.000 0.000 0.500
Au 0.000 0.500 0.000
Au 0.000 0.500 0.500
Au 0.125 0.750 0.875
Au 0.125 0.875 0.250
Au 0.250 0.125 0.875
Au 0.250 0.625 0.375
Au 0.375 0.250 0.625
Au 0.375 0.625 0.750
Au 0.500 0.000 0.000
Au 0.500 0.000 0.500
Au 0.500 0.500 0.000
Au 0.500 0.500 0.500
Au 0.625 0.375 0.250
Au 0.625 0.750 0.375
Au 0.750 0.375 0.625
Au 0.750 0.875 0.125
Au 0.875 0.125 0.750
Au 0.875 0.250 0.125